(1)
First-principles (PBE-GGA) data for a geometry-optimized Tb4Tm5Hg structure, as listed in the Alexandria database.

a b c (Å): 3.5323 3.5323 23.9015
angles (deg): 90.00 90.00 90.00
Fractional coordinates of all 10 atoms:
Tb (0.0000, 0.0000, 0.1039)
Tb (0.0000, 0.0000, 0.3120)
Tb (0.0000, 0.0000, 0.6880)
Tb (0.0000, 0.0000, 0.8961)
Tm (0.5000, 0.5000, 0.0000)
Tm (0.5000, 0.5000, 0.2083)
Tm (0.5000, 0.5000, 0.4168)
Tm (0.5000, 0.5000, 0.5832)
Tm (0.5000, 0.5000, 0.7917)
Hg (0.0000, 0.0000, 0.5000)

Calculated values
Its total energy is -41.97 eV for the cell shown. For the magnetization, the calculation gives 0.0 μB per cell. Its space group is P4/mmm, No. 123.



(2)
First-principles (PBE-GGA) data for a geometry-optimized Tm6TcSn structure, as listed in the Alexandria database.

a b c (Å): 6.6714 6.6813 7.5877
angles (deg): 63.90 64.04 60.09
Fractional coordinates of all 8 atoms:
Tm (0.0398, 0.4189, 0.2615)
Tm (0.2222, 0.9605, 0.7375)
Tm (0.4178, 0.7789, 0.2623)
Tm (0.5822, 0.2211, 0.7377)
Tm (0.7778, 0.0395, 0.2625)
Tm (0.9602, 0.5811, 0.7385)
Tc (0.0000, 0.0000, 0.5000)
Sn (0.5000, 0.5000, 0.0000)

Calculated values
Its total energy is -40.91 eV for the cell shown. For the magnetization, the calculation gives 0.0 μB per cell. Its space group is P-1, No. 2.



(3)
First-principles (PBE-GGA) data for a geometry-optimized K2TaRh structure, as listed in the Alexandria database.

a b c (Å): 6.4985 6.4985 2.8967
angles (deg): 90.00 90.00 130.86
Fractional coordinates of all 4 atoms:
K (0.0000, 0.5000, 0.0000)
K (0.5000, 0.0000, 0.0000)
Ta (0.0000, 0.0000, 0.5000)
Rh (0.5000, 0.5000, 0.5000)

Calculated values
For the magnetization, the calculation gives 0.0 μB per cell. Its space group is Cmmm, No. 65. For the distance to the lowest polymorph of the same formula, the calculation gives 2.73 eV/f.u.



(4)
First-principles (PBE-GGA) data for a geometry-optimized PrEr2Tm4 structure, as listed in the Alexandria database.

a b c (Å): 8.9229 8.9229 8.9229
angles (deg): 136.33 102.25 93.70
Fractional coordinates of all 14 atoms:
Pr (0.4721, 0.2221, 0.2500)
Pr (0.5279, 0.7779, 0.7500)
Er (0.0000, 0.0000, 0.0000)
Er (0.0000, 0.0000, 0.5000)
Er (0.0000, 0.5000, 0.0000)
Er (0.5000, 0.0000, 0.5000)
Tm (0.1252, 0.6356, 0.4896)
Tm (0.2598, 0.2820, 0.5222)
Tm (0.2598, 0.7377, 0.9778)
Tm (0.3541, 0.3644, 0.9896)
Tm (0.6459, 0.6356, 0.0104)
Tm (0.7402, 0.2623, 0.0222)
Tm (0.7402, 0.7180, 0.4778)
Tm (0.8748, 0.3644, 0.5104)

Calculated values
For the magnetization, the calculation gives 0.0 μB per cell. Its space group is Imma, No. 74. For the distance to the lowest polymorph of the same formula, the calculation gives 1.67 eV/f.u.



(5)
First-principles (PBE-GGA) data for a geometry-optimized P2OsRu structure, as listed in the Alexandria database.

a b c (Å): 6.3875 6.3875 6.3875
angles (deg): 131.58 131.58 70.90
Fractional coordinates of all 8 atoms:
P (0.1235, 0.6250, 0.9985)
P (0.3750, 0.3735, 0.4985)
P (0.6265, 0.1250, 0.0015)
P (0.8750, 0.8765, 0.5015)
Os (0.0000, 0.0000, 0.0000)
Os (0.7500, 0.2500, 0.5000)
Ru (0.2500, 0.7500, 0.5000)
Ru (0.5000, 0.5000, 0.0000)

Calculated values
For the magnetization, the calculation gives 0.0 μB per cell. Its space group is I-42d, No. 122. For the distance to the lowest polymorph of the same formula, the calculation gives 0.74 eV/f.u.



(6)
First-principles (PBE-GGA) data for a geometry-optimized Tb2EuTm structure, as listed in the Alexandria database.

a b c (Å): 3.5917 3.5917 10.2981
angles (deg): 90.00 90.00 90.00
Fractional coordinates of all 4 atoms:
Tb (0.0000, 0.0000, 0.2331)
Tb (0.0000, 0.0000, 0.7669)
Eu (0.5000, 0.5000, 0.5000)
Tm (0.5000, 0.5000, 0.0000)

Calculated values
For the magnetization, the calculation gives 7.4 μB per cell. Its space group is P4/mmm, No. 123. For the distance to the lowest polymorph of the same formula, the calculation gives 0.00 eV/f.u.